A relaxed structure of CaAsNO2. Source: the Alexandria database, functional PBE-GGA.

```
CaAsNO2
1.0
4.3091 0.0000 0.0000
0.0000 4.3091 0.0000
0.0000 0.0000 4.5164
Ca As N O
1 1 1 2
Direct
0.0000 0.0000 0.0000
0.5000 0.5000 0.5000
0.0000 0.0000 0.5000
0.0000 0.5000 0.0000
0.5000 0.0000 0.0000
```

Output
Calculated total energy = -4.39 eV/atom
Uncorrected formation energy = 56.32 kJ per mole of atoms